Run a
Compound: BaCoW2
Source: the Alexandria database
Functional: PBEsol
Structure: optimized geometry

Output
* D(E_F): 1.2311 states/eV per atom
* total magnetic moment: 0.05 μB per formula unit

a b c (Å): 3.0113 5.5904 9.4065
angles (deg): 90.00 90.00 90.00
Space group Imm2 (No. 44)
Inequivalent atoms, fractional coordinates:
Ba  0.0000  0.0000  0.0000 x2
Co  0.0000  0.5000  0.2208 x2
W  0.0000  0.0000  0.5182 x2
W  0.0000  0.5000  0.8019 x2

---

Run b
Compound: BaCoW2
Source: the Alexandria database
Functional: PBEsol
Structure: optimized geometry

Output
* D(E_F): 1.1207 states/eV per atom
* total magnetic moment: 1.16 μB per formula unit

a b c (Å): 4.0229 4.1204 8.9553
angles (deg): 90.00 90.00 90.00
Space group Cmmm (No. 65)
Inequivalent atoms, fractional coordinates:
Ba  0.0000  0.0000  0.0000 x2
Co  0.0000  0.0000  0.5000 x2
W  0.0000  0.5000  0.3253 x4

---

Run c
Compound: BaCoW2
Source: the Alexandria database
Functional: PBEsol
Structure: optimized geometry

Output
* D(E_F): 1.2674 states/eV per atom
* total magnetic moment: 1.21 μB per formula unit

a b c (Å): 3.1289 4.2399 6.8087
angles (deg): 90.00 101.98 90.00
Space group P2/m (No. 10)
Inequivalent atoms, fractional coordinates:
Ba  0.0000  0.0000  0.0000 x1
Co  0.5000  0.0000  0.5000 x1
W  0.3006  0.5000  0.6406 x2

---

Run d
Compound: BaCoW2
Source: the Alexandria database
Functional: PBEsol
Structure: optimized geometry

Output
* D(E_F): 1.2265 states/eV per atom
* total magnetic moment: 0.96 μB per formula unit

a b c (Å): 5.2321 10.3273 2.7841
angles (deg): 90.00 90.00 90.00
Space group Cmmm (No. 65)
Inequivalent atoms, fractional coordinates:
Ba  0.0000  0.0000  0.0000 x2
Co  0.0000  0.5000  0.0000 x2
W  0.2500  0.2500  0.5000 x4

---

Unit: kJ/mol of atoms. Relative energies: run a 38.0; run b 0.0; run c 14.3; run d 58.6.

---

Run a
Compound: BaCo2W
Source: the Alexandria database
Functional: PBEsol
Structure: optimized geometry

Output
* D(E_F): 1.7011 states/eV per atom
* total magnetic moment: 1.39 μB per formula unit

a b c (Å): 6.3692 6.3692 6.3692
angles (deg): 90.00 90.00 90.00
Space group F-43m (No. 216)
Inequivalent atoms, fractional coordinates:
Ba  0.0000  0.0000  0.0000 x4
Co  0.0000  0.0000  0.5000 x4
Co  0.2500  0.2500  0.2500 x4
W  0.2500  0.2500  0.7500 x4

---

Run b
Compound: BaCo2W
Source: the Alexandria database
Functional: PBEsol
Structure: optimized geometry

Output
* D(E_F): 0.9266 states/eV per atom
* total magnetic moment: 0.00 μB per formula unit

a b c (Å): 3.4755 3.4826 13.1281
angles (deg): 90.00 90.00 90.00
Space group Imm2 (No. 44)
Inequivalent atoms, fractional coordinates:
Ba  0.0000  0.0000  0.0000 x2
Co  0.0000  0.0000  0.6469 x2
Co  0.0000  0.5000  0.7655 x2
W  0.0000  0.5000  0.2645 x2

---

Unit: kJ/mol of atoms. Relative energies: run a 69.2; run b 0.0.

---

Run a
Compound: BaYCo2
Source: the Alexandria database
Functional: PBEsol
Structure: optimized geometry

Output
* D(E_F): 1.5761 states/eV per atom
* total magnetic moment: 2.14 μB per formula unit

a b c (Å): 6.7817 6.7817 6.7817
angles (deg): 90.00 90.00 90.00
Space group F-43m (No. 216)
Inequivalent atoms, fractional coordinates:
Ba  0.0000  0.0000  0.0000 x4
Y  0.2500  0.2500  0.7500 x4
Co  0.0000  0.0000  0.5000 x4
Co  0.2500  0.2500  0.2500 x4

---

Run b
Compound: BaYCo2
Source: the Alexandria database
Functional: PBEsol
Structure: optimized geometry

Output
* D(E_F): 1.4110 states/eV per atom
* total magnetic moment: 1.38 μB per formula unit

a b c (Å): 3.9857 3.9857 10.2585
angles (deg): 90.00 90.00 90.00
Space group I-4m2 (No. 119)
Inequivalent atoms, fractional coordinates:
Ba  0.0000  0.0000  0.0000 x2
Y  0.0000  0.5000  0.7500 x2
Co  0.0000  0.0000  0.5000 x2
Co  0.0000  0.5000  0.2500 x2

---

Unit: kJ/mol of atoms. Relative energies: run a 5.1; run b 0.0.

---

Run a
Compound: BaY2Co
Source: the Alexandria database
Functional: PBEsol
Structure: optimized geometry

Output
* D(E_F): 0.8245 states/eV per atom
* total magnetic moment: 0.00 μB per formula unit

a b c (Å): 3.9206 3.9206 28.2178
angles (deg): 90.00 90.00 120.00
Space group R-3m (No. 166, hexagonal axes)
Inequivalent atoms, fractional coordinates:
Ba  0.0000  0.0000  0.0000 x3
Y  0.0000  0.0000  0.2150 x6
Co  0.0000  0.0000  0.5000 x3

---

Run b
Compound: BaY2Co
Source: the Alexandria database
Functional: PBEsol
Structure: optimized geometry

Output
* D(E_F): 1.4596 states/eV per atom
* total magnetic moment: 0.57 μB per formula unit

a b c (Å): 4.5689 4.5689 5.1035
angles (deg): 90.00 90.00 90.00
Space group P4/mmm (No. 123)
Inequivalent atoms, fractional coordinates:
Ba  0.0000  0.0000  0.0000 x1
Y  0.0000  0.5000  0.5000 x2
Co  0.5000  0.5000  0.0000 x1

---

Unit: kJ/mol of atoms. Relative energies: run a 0.0; run b 56.9.

---

Run a
Compound: Ba2YCo
Source: the Alexandria database
Functional: PBEsol
Structure: optimized geometry

Output
* D(E_F): 1.9464 states/eV per atom
* total magnetic moment: 0.92 μB per formula unit

a b c (Å): 7.9234 7.9234 7.9234
angles (deg): 90.00 90.00 90.00
Space group Fm-3m (No. 225)
Inequivalent atoms, fractional coordinates:
Ba  0.2500  0.2500  0.2500 x8
Y  0.0000  0.0000  0.0000 x4
Co  0.0000  0.0000  0.5000 x4

---

Run b
Compound: Ba2YCo
Source: the Alexandria database
Functional: PBEsol
Structure: optimized geometry

Output
* D(E_F): 1.8650 states/eV per atom
* total magnetic moment: 1.05 μB per formula unit

a b c (Å): 3.8868 3.8868 31.2879
angles (deg): 90.00 90.00 120.00
Space group R-3m (No. 166, hexagonal axes)
Inequivalent atoms, fractional coordinates:
Ba  0.0000  0.0000  0.2275 x6
Y  0.0000  0.0000  0.0000 x3
Co  0.0000  0.0000  0.5000 x3

---

Unit: kJ/mol of atoms. Relative energies: run a 19.3; run b 0.0.

---

Run a
Compound: BaCr2
Source: the Alexandria database
Functional: PBEsol
Structure: optimized geometry

Output
* D(E_F): 1.1954 states/eV per atom
* total magnetic moment: 0.00 μB per formula unit

a b c (Å): 3.1147 3.1147 12.2667
angles (deg): 90.00 90.00 90.00
Space group I4/mmm (No. 139)
Inequivalent atoms, fractional coordinates:
Ba  0.0000  0.0000  0.0000 x2
Cr  0.0000  0.0000  0.2768 x4

---

Run b
Compound: BaCr2
Source: the Alexandria database
Functional: PBEsol
Structure: optimized geometry

Output
* D(E_F): 0.7005 states/eV per atom
* total magnetic moment: 0.00 μB per formula unit

a b c (Å): 4.7570 4.7570 12.6952
angles (deg): 90.00 90.00 90.00
Space group I4_1/amd (No. 141, origin choice 2)
Inequivalent atoms, fractional coordinates:
Ba  0.0000  0.2500  0.3750 x4
Cr  0.0000  0.2500  0.8039 x8

---

Unit: kJ/mol of atoms. Relative energies: run a 0.0; run b 27.3.

---

Run a
Compound: Ba2Cr
Source: the Alexandria database
Functional: PBEsol
Structure: optimized geometry

Output
* D(E_F): 1.3793 states/eV per atom
* total magnetic moment: 5.21 μB per formula unit

a b c (Å): 8.2083 8.2083 8.2083
angles (deg): 90.00 90.00 90.00
Space group Fm-3m (No. 225)
Inequivalent atoms, fractional coordinates:
Ba  0.2500  0.2500  0.2500 x8
Cr  0.0000  0.0000  0.0000 x4

---

Run b
Compound: Ba2Cr
Source: the Alexandria database
Functional: PBEsol
Structure: optimized geometry

Output
* D(E_F): 1.1683 states/eV per atom
* total magnetic moment: 4.48 μB per formula unit

a b c (Å): 8.5631 8.5631 6.7883
angles (deg): 90.00 90.00 90.00
Space group I4/mcm (No. 140)
Inequivalent atoms, fractional coordinates:
Ba  0.1688  0.3312  0.0000 x8
Cr  0.0000  0.0000  0.2500 x4

---

Unit: kJ/mol of atoms. Relative energies: run a 10.7; run b 0.0.

---

Run a
Compound: Ba2LaCr
Source: the Alexandria database
Functional: PBEsol
Structure: optimized geometry

Output
* D(E_F): 1.1232 states/eV per atom
* total magnetic moment: 3.71 μB per formula unit

a b c (Å): 3.9893 6.1560 12.3946
angles (deg): 90.00 90.00 90.00
Space group Imm2 (No. 44)
Inequivalent atoms, fractional coordinates:
Ba  0.0000  0.0000  0.0000 x2
Ba  0.0000  0.5000  0.2037 x2
La  0.0000  0.0000  0.4056 x2
Cr  0.0000  0.5000  0.7274 x2

---

Run b
Compound: Ba2LaCr
Source: the Alexandria database
Functional: PBEsol
Structure: optimized geometry

Output
* D(E_F): 1.2748 states/eV per atom
* total magnetic moment: 3.98 μB per formula unit

a b c (Å): 3.9460 3.9460 9.8514
angles (deg): 90.00 90.00 90.00
Space group P4/mmm (No. 123)
Inequivalent atoms, fractional coordinates:
Ba  0.0000  0.0000  0.2082 x2
La  0.5000  0.5000  0.5000 x1
Cr  0.5000  0.5000  0.0000 x1

---

Run c
Compound: Ba2LaCr
Source: the Alexandria database
Functional: PBEsol
Structure: optimized geometry

Output
* D(E_F): 1.2333 states/eV per atom
* total magnetic moment: 3.78 μB per formula unit

a b c (Å): 8.3406 8.3406 8.3406
angles (deg): 90.00 90.00 90.00
Space group Fm-3m (No. 225)
Inequivalent atoms, fractional coordinates:
Ba  0.2500  0.2500  0.2500 x8
La  0.0000  0.0000  0.0000 x4
Cr  0.0000  0.0000  0.5000 x4

---

Unit: kJ/mol of atoms. Relative energies: run a 0.0; run b 8.7; run c 17.1.

---

Run a
Compound: BaLiCr2
Source: the Alexandria database
Functional: PBEsol
Structure: optimized geometry

Output
* D(E_F): 0.8053 states/eV per atom
* total magnetic moment: 8.63 μB per formula unit

a b c (Å): 3.2940 3.2940 30.4915
angles (deg): 90.00 90.00 120.00
Space group R-3m (No. 166, hexagonal axes)
Inequivalent atoms, fractional coordinates:
Ba  0.0000  0.0000  0.0000 x3
Li  0.0000  0.0000  0.5000 x3
Cr  0.0000  0.0000  0.2391 x6

---

Run b
Compound: BaLiCr2
Source: the Alexandria database
Functional: PBEsol
Structure: optimized geometry

Output
* D(E_F): 0.9446 states/eV per atom
* total magnetic moment: 0.16 μB per formula unit

a b c (Å): 3.1828 3.1828 8.3421
angles (deg): 90.00 90.00 90.00
Space group P4mm (No. 99)
Inequivalent atoms, fractional coordinates:
Ba  0.0000  0.0000  0.0000 x1
Li  0.5000  0.5000  0.6408 x1
Cr  0.0000  0.0000  0.4210 x1
Cr  0.5000  0.5000  0.3181 x1

---

Run c
Compound: BaLiCr2
Source: the Alexandria database
Functional: PBEsol
Structure: optimized geometry

Output
* D(E_F): 0.7880 states/eV per atom
* total magnetic moment: 9.30 μB per formula unit

a b c (Å): 3.6079 3.6220 7.6747
angles (deg): 90.00 90.00 90.00
Space group Pmmm (No. 47)
Inequivalent atoms, fractional coordinates:
Ba  0.0000  0.0000  0.0000 x1
Li  0.0000  0.0000  0.5000 x1
Cr  0.5000  0.5000  0.3125 x2

---

Unit: kJ/mol of atoms. Relative energies: run a 55.9; run b 0.0; run c 40.2.

---

Run a
Compound: BaCrMo2
Source: the Alexandria database
Functional: PBEsol
Structure: optimized geometry

Output
* D(E_F): 1.2465 states/eV per atom
* total magnetic moment: 0.00 μB per formula unit

a b c (Å): 8.0550 3.8153 6.6509
angles (deg): 90.00 112.08 90.00
Space group C2/m (No. 12)
Inequivalent atoms, fractional coordinates:
Ba  0.0000  0.0000  0.0000 x2
Cr  0.0000  0.5000  0.5000 x2
Mo  0.1852  0.0000  0.5786 x4

---

Run b
Compound: BaCrMo2
Source: the Alexandria database
Functional: PBEsol
Structure: optimized geometry

Output
* D(E_F): 1.1777 states/eV per atom
* total magnetic moment: 0.00 μB per formula unit

a b c (Å): 3.0418 3.0418 28.2478
angles (deg): 90.00 90.00 120.00
Space group R-3m (No. 166, hexagonal axes)
Inequivalent atoms, fractional coordinates:
Ba  0.0000  0.0000  0.0000 x3
Cr  0.0000  0.0000  0.5000 x3
Mo  0.0000  0.0000  0.2283 x6

---

Unit: kJ/mol of atoms. Relative energies: run a 0.0; run b 17.8.

---

Run a
Compound: BaCrOs2
Source: the Alexandria database
Functional: PBEsol
Structure: optimized geometry

Output
* D(E_F): 1.4397 states/eV per atom
* total magnetic moment: 3.70 μB per formula unit

a b c (Å): 3.9938 3.9938 4.6888
angles (deg): 90.00 90.00 90.00
Space group P4/mmm (No. 123)
Inequivalent atoms, fractional coordinates:
Ba  0.0000  0.0000  0.0000 x1
Cr  0.5000  0.5000  0.0000 x1
Os  0.0000  0.5000  0.5000 x2

---

Run b
Compound: BaCrOs2
Source: the Alexandria database
Functional: PBEsol
Structure: optimized geometry

Output
* D(E_F): 1.3096 states/eV per atom
* total magnetic moment: 1.79 μB per formula unit

a b c (Å): 6.5878 6.5878 6.5878
angles (deg): 90.00 90.00 90.00
Space group Fm-3m (No. 225)
Inequivalent atoms, fractional coordinates:
Ba  0.0000  0.0000  0.0000 x4
Cr  0.0000  0.0000  0.5000 x4
Os  0.2500  0.2500  0.2500 x8

---

Unit: kJ/mol of atoms. Relative energies: run a 8.6; run b 0.0.

---

Run a
Compound: BaCrP2
Source: the Alexandria database
Functional: PBEsol
Structure: optimized geometry

Output
* D(E_F): 0.7094 states/eV per atom
* total magnetic moment: 3.70 μB per formula unit

a b c (Å): 4.2048 6.3272 7.1269
angles (deg): 90.00 90.00 90.00
Space group Immm (No. 71)
Inequivalent atoms, fractional coordinates:
Ba  0.0000  0.0000  0.0000 x2
Cr  0.0000  0.0000  0.5000 x2
P  0.0000  0.5000  0.1586 x4

---

Run b
Compound: BaCrP2
Source: the Alexandria database
Functional: PBEsol
Structure: optimized geometry

Output
* D(E_F): 0.5444 states/eV per atom
* total magnetic moment: 3.90 μB per formula unit

a b c (Å): 6.9229 6.9229 6.9229
angles (deg): 90.00 90.00 90.00
Space group F-43m (No. 216)
Inequivalent atoms, fractional coordinates:
Ba  0.0000  0.0000  0.0000 x4
Cr  0.2500  0.2500  0.2500 x4
P  0.0000  0.0000  0.5000 x4
P  0.2500  0.2500  0.7500 x4

---

Unit: kJ/mol of atoms. Relative energies: run a 0.0; run b 81.6.

---

Run a
Compound: Ba2CrPt
Source: the Alexandria database
Functional: PBEsol
Structure: optimized geometry

Output
* D(E_F): 0.6602 states/eV per atom
* total magnetic moment: 4.12 μB per formula unit

a b c (Å): 4.3480 4.6264 14.0710
angles (deg): 90.00 90.00 90.00
Space group Imm2 (No. 44)
Inequivalent atoms, fractional coordinates:
Ba  0.0000  0.0000  0.0000 x2
Ba  0.0000  0.5000  0.2447 x2
Cr  0.0000  0.5000  0.8238 x2
Pt  0.0000  0.0000  0.4080 x2

---

Run b
Compound: Ba2CrPt
Source: the Alexandria database
Functional: PBEsol
Structure: optimized geometry

Output
* D(E_F): 0.6240 states/eV per atom
* total magnetic moment: 4.73 μB per formula unit

a b c (Å): 5.3746 5.3746 4.0376
angles (deg): 90.00 90.00 90.00
Space group P4/mmm (No. 123)
Inequivalent atoms, fractional coordinates:
Ba  0.0000  0.5000  0.0000 x2
Cr  0.0000  0.0000  0.5000 x1
Pt  0.5000  0.5000  0.5000 x1

---

Run c
Compound: Ba2CrPt
Source: the Alexandria database
Functional: PBEsol
Structure: optimized geometry

Output
* D(E_F): 0.8621 states/eV per atom
* total magnetic moment: 5.01 μB per formula unit

a b c (Å): 7.4854 7.4854 7.4854
angles (deg): 90.00 90.00 90.00
Space group F-43m (No. 216)
Inequivalent atoms, fractional coordinates:
Ba  0.0000  0.0000  0.0000 x4
Ba  0.2500  0.2500  0.2500 x4
Cr  0.2500  0.2500  0.7500 x4
Pt  0.0000  0.0000  0.5000 x4

---

Unit: kJ/mol of atoms. Relative energies: run a 0.0; run b 13.1; run c 20.6.